[1]
Computed, not measured: LiSmEuSc after structural relaxation at the PBE-GGA level of DFT.

Output
Calculated volume = 29.70 Å³ per atom
E_tot = -5.603 eV/atom

```
LiSmEuSc
1.0
0.000 3.902 3.902
3.902 0.000 3.902
3.902 3.902 0.000
Li Sm Eu Sc
1 1 1 1
Direct
0.000 0.000 0.000 Li
0.250 0.250 0.250 Sm
0.750 0.750 0.750 Eu
0.500 0.500 0.500 Sc
```



[2]
Computed, not measured: Ta8Nb3Pt after structural relaxation at the PBE-GGA level of DFT.

Output
Calculated volume = 18.68 Å³ per atom
E_tot = -10.924 eV/atom

```
Ta8Nb3Pt
1.0
5.467 0.000 0.000
-2.733 4.734 0.000
0.000 0.000 8.660
Ta Nb Pt
8 3 1
Direct
0.171 0.342 0.249 Ta
0.171 0.829 0.249 Ta
0.333 0.667 0.944 Ta
0.342 0.171 0.751 Ta
0.658 0.829 0.249 Ta
0.667 0.333 0.056 Ta
0.829 0.171 0.751 Ta
0.829 0.658 0.751 Ta
0.000 0.000 0.500 Nb
0.333 0.667 0.561 Nb
0.667 0.333 0.439 Nb
0.000 0.000 0.000 Pt
```